Compound: La6PrNd2Er
Source: Alexandria
Functional: PBE
Structure: optimized geometry

Computed properties:
As for the formation energy: 0.11 eV/atom. For the raw total energy, the calculation gives -94.77 eV/cell.

Cell: 9.320 9.186 9.186 Å, 114.64 89.73 89.73°
Sites, in units of the cell vectors:
Er1 0.750 0.568 0.432
Er2 0.250 0.432 0.568
La1 0.594 0.778 0.076
La2 0.406 0.222 0.924
La3 0.908 0.279 0.571
La4 0.319 0.031 0.468
La5 0.906 0.924 0.222
La6 0.681 0.969 0.532
La7 0.592 0.429 0.721
La8 0.094 0.076 0.778
La9 0.819 0.468 0.031
La10 0.092 0.721 0.429
La11 0.408 0.571 0.279
La12 0.181 0.532 0.969
Pr1 0.250 0.929 0.071
Pr2 0.750 0.071 0.929
Nd1 0.936 0.703 0.793
Nd2 0.564 0.207 0.297
Nd3 0.064 0.297 0.207
Nd4 0.436 0.793 0.703